1.
A plane-wave DFT calculation with GGA-PBEsol was carried out for crystalline Li5Bi2P5O18 at its relaxed geometry.

Values from the calculation:
For the density, the calculation gives 4.34 g/cm3. Its raw formation energy is -2.19 eV/atom. For the total energy, the calculation gives -414.9 eV/cell.

a = 6.6420 Å, b = 9.4164 Å, c = 11.0520 Å
α = 97.62°, β = 91.29°, γ = 91.70°
Fractional positions:
Li 0.0136 0.4523 0.1360
Li 0.1284 0.7257 0.6631
Li 0.1811 0.3944 0.6488
Li 0.3461 0.8770 0.8527
Li 0.4034 0.2261 0.4063
Li 0.5966 0.7739 0.5937
Li 0.6539 0.1230 0.1473
Li 0.8189 0.6056 0.3512
Li 0.8716 0.2743 0.3369
Li 0.9864 0.5477 0.8640
Bi 0.2215 0.8683 0.3915
Bi 0.3355 0.2647 0.9329
Bi 0.6645 0.7353 0.0671
Bi 0.7785 0.1317 0.6085
P 0.1460 0.0799 0.1638
P 0.1777 0.7655 0.0898
P 0.2207 0.5075 0.4053
P 0.2723 0.0813 0.6574
P 0.4859 0.5717 0.7847
P 0.5141 0.4283 0.2153
P 0.7277 0.9187 0.3426
P 0.7793 0.4925 0.5947
P 0.8223 0.2345 0.9102
P 0.8540 0.9201 0.8362
O 0.0094 0.6558 0.0423
O 0.0377 0.8295 0.8292
O 0.0402 0.4734 0.3166
O 0.0623 0.9142 0.1170
O 0.1162 0.2016 0.6761
O 0.1655 0.9386 0.6001
O 0.2088 0.6576 0.4812
O 0.2508 0.0772 0.2888
O 0.2574 0.3885 0.4818
O 0.2791 0.7333 0.2083
O 0.2994 0.1060 0.0664
O 0.3049 0.4810 0.8182
O 0.3435 0.7787 0.9975
O 0.3452 0.4119 0.1158
O 0.3676 0.0602 0.7820
O 0.4214 0.5274 0.3288
O 0.4235 0.7087 0.7358
O 0.4317 0.1285 0.5677
O 0.5683 0.8715 0.4323
O 0.5765 0.2913 0.2642
O 0.5786 0.4726 0.6712
O 0.6324 0.9398 0.2180
O 0.6548 0.5881 0.8842
O 0.6565 0.2213 0.0025
O 0.6951 0.5190 0.1818
O 0.7006 0.8940 0.9336
O 0.7209 0.2667 0.7917
O 0.7426 0.6115 0.5182
O 0.7492 0.9228 0.7112
O 0.7912 0.3424 0.5188
O 0.8345 0.0614 0.3999
O 0.8838 0.7984 0.3239
O 0.9377 0.0858 0.8830
O 0.9598 0.5266 0.6834
O 0.9623 0.1705 0.1708
O 0.9906 0.3442 0.9577

=====

2.
A plane-wave DFT calculation with GGA-PBEsol was carried out for crystalline SrRe2Ru at its relaxed geometry.

Values from the calculation:
For the density, the calculation gives 13.71 g/cm3. For the total energy, the calculation gives -68.1 eV/cell.

a = 5.3044 Å, b = 9.4903 Å, c = 2.7005 Å
α = 90.00°, β = 90.00°, γ = 90.00°
Fractional positions:
Sr 0.0000 0.0000 0.0000
Sr 0.5000 0.5000 0.0000
Re 0.2500 0.2500 0.5000
Re 0.2500 0.7500 0.5000
Re 0.7500 0.2500 0.5000
Re 0.7500 0.7500 0.5000
Ru 0.0000 0.5000 0.0000
Ru 0.5000 0.0000 0.0000

=====

3.
A plane-wave DFT calculation with GGA-PBEsol was carried out for crystalline SrTiSbI2 at its relaxed geometry.

Values from the calculation:
For the density, the calculation gives 3.71 g/cm3. Its raw formation energy is 0.41 eV/atom. For the total energy, the calculation gives -16.2 eV/cell.

a = 5.9969 Å, b = 5.9969 Å, c = 6.3623 Å
α = 90.00°, β = 90.00°, γ = 90.00°
Fractional positions:
Sr 0.0000 0.0000 0.0000
Ti 0.5000 0.5000 0.5000
Sb 0.0000 0.0000 0.5000
I 0.0000 0.5000 0.0000
I 0.5000 0.0000 0.0000

=====

4.
A plane-wave DFT calculation with GGA-PBEsol was carried out for crystalline ScTlCd2 at its relaxed geometry.

Values from the calculation:
For the density, the calculation gives 8.86 g/cm3. The excess energy over the best structure of this formula in the dataset comes out at 0.024 eV per atom. For the total energy, the calculation gives -24.4 eV/cell.

a = 11.0405 Å, b = 3.4132 Å, c = 4.9701 Å
α = 90.00°, β = 108.47°, γ = 90.00°
Fractional positions:
Sc 0.0000 0.0000 0.0000
Sc 0.5000 0.5000 0.0000
Tl 0.0000 0.5000 0.5000
Tl 0.5000 0.0000 0.5000
Cd 0.2426 0.5000 0.2423
Cd 0.2574 0.0000 0.7577
Cd 0.7426 0.0000 0.2423
Cd 0.7574 0.5000 0.7577

=====

5.
A plane-wave DFT calculation with GGA-PBEsol was carried out for crystalline ZnCo2Hg at its relaxed geometry.

Values from the calculation:
For the density, the calculation gives 11.62 g/cm3. For the total energy, the calculation gives -48.4 eV/cell.

a = 2.7576 Å, b = 2.7576 Å, c = 24.9825 Å
α = 90.00°, β = 90.00°, γ = 120.00°
Fractional positions:
Zn 0.0000 0.0000 0.0000
Zn 0.3333 0.6667 0.6667
Zn 0.6667 0.3333 0.3333
Co 0.0000 0.0000 0.2560
Co 0.0000 0.0000 0.7440
Co 0.3333 0.6667 0.4107
Co 0.3333 0.6667 0.9227
Co 0.6667 0.3333 0.0773
Co 0.6667 0.3333 0.5893
Hg 0.0000 0.0000 0.5000
Hg 0.3333 0.6667 0.1667
Hg 0.6667 0.3333 0.8333

=====

6.
A plane-wave DFT calculation with GGA-PBEsol was carried out for crystalline HgGe2OsO at its relaxed geometry.

Values from the calculation:
For the density, the calculation gives 10.66 g/cm3. Its raw formation energy is 0.37 eV/atom. For the total energy, the calculation gives -26.1 eV/cell.

a = 4.7878 Å, b = 4.7878 Å, c = 3.7505 Å
α = 90.00°, β = 90.00°, γ = 90.00°
Fractional positions:
Hg 0.0000 0.0000 0.0000
Ge 0.0000 0.5000 0.5000
Ge 0.5000 0.0000 0.5000
Os 0.5000 0.5000 0.0000
O 0.5000 0.5000 0.5000

=====

7.
A plane-wave DFT calculation with GGA-PBEsol was carried out for crystalline POs2Pt at its relaxed geometry.

Values from the calculation:
For the density, the calculation gives 17.55 g/cm3. For the total energy, the calculation gives -70.5 eV/cell.

a = 2.7275 Å, b = 4.7592 Å, c = 8.8423 Å
α = 90.00°, β = 90.00°, γ = 90.00°
Fractional positions:
P 0.0000 0.0000 0.0000
P 0.5000 0.5000 0.0000
Os 0.0000 0.0000 0.5200
Os 0.0000 0.5000 0.7746
Os 0.5000 0.0000 0.7746
Os 0.5000 0.5000 0.5200
Pt 0.0000 0.5000 0.2484
Pt 0.5000 0.0000 0.2484

=====

8.
A plane-wave DFT calculation with GGA-PBEsol was carried out for crystalline Te2PIrI at its relaxed geometry.

Values from the calculation:
For the density, the calculation gives 7.78 g/cm3. Its raw formation energy is 1.38 eV/atom. For the total energy, the calculation gives -17.5 eV/cell.

a = 5.0380 Å, b = 5.0380 Å, c = 5.0922 Å
α = 90.00°, β = 90.00°, γ = 90.00°
Fractional positions:
Te 0.0000 0.5000 0.0000
Te 0.5000 0.0000 0.0000
P 0.0000 0.0000 0.0000
Ir 0.5000 0.5000 0.5000
I 0.0000 0.0000 0.5000

=====

9.
A plane-wave DFT calculation with GGA-PBEsol was carried out for crystalline K3Mn2F7 at its relaxed geometry.

Values from the calculation:
For the density, the calculation gives 3.21 g/cm3. Its raw formation energy is -2.55 eV/atom. For the total energy, the calculation gives -67.1 eV/cell.

a = 11.0956 Å, b = 11.0956 Å, c = 11.0956 Å
α = 158.32°, β = 158.32°, γ = 30.85°
Fractional positions:
K 0.0000 0.0000 0.0000
K 0.1848 0.1848 0.0000
K 0.8152 0.8152 0.0000
Mn 0.4014 0.4014 0.0000
Mn 0.5986 0.5986 0.0000
F 0.0964 0.5964 0.5000
F 0.3045 0.3045 0.0000
F 0.4036 0.9036 0.5000
F 0.5000 0.5000 0.0000
F 0.5964 0.0964 0.5000
F 0.6955 0.6955 0.0000
F 0.9036 0.4036 0.5000

=====

10.
A plane-wave DFT calculation with GGA-PBEsol was carried out for crystalline Mg3TiH8 at its relaxed geometry.

Values from the calculation:
For the density, the calculation gives 2.21 g/cm3. For the total energy, the calculation gives -42.3 eV/cell.

a = 4.5921 Å, b = 4.5921 Å, c = 4.5921 Å
α = 90.00°, β = 90.00°, γ = 90.00°
Fractional positions:
Mg 0.0000 0.0000 0.5000
Mg 0.0000 0.5000 0.0000
Mg 0.5000 0.0000 0.0000
Ti 0.5000 0.5000 0.5000
H 0.2581 0.2581 0.2581
H 0.2581 0.2581 0.7419
H 0.2581 0.7419 0.2581
H 0.2581 0.7419 0.7419
H 0.7419 0.2581 0.2581
H 0.7419 0.2581 0.7419
H 0.7419 0.7419 0.2581
H 0.7419 0.7419 0.7419

=====

11.
A plane-wave DFT calculation with GGA-PBEsol was carried out for crystalline NaCa2CdSb at its relaxed geometry.

Values from the calculation:
For the density, the calculation gives 2.86 g/cm3. Its raw formation energy is -0.19 eV/atom. For the total energy, the calculation gives -12.4 eV/cell.

a = 5.8752 Å, b = 5.8752 Å, c = 5.6831 Å
α = 90.00°, β = 90.00°, γ = 90.00°
Fractional positions:
Na 0.0000 0.0000 0.0000
Ca 0.0000 0.5000 0.5000
Ca 0.5000 0.0000 0.5000
Cd 0.5000 0.5000 0.0000
Sb 0.0000 0.0000 0.5000

=====

12.
A plane-wave DFT calculation with GGA-PBEsol was carried out for crystalline Nb12TlTe12As4 at its relaxed geometry.

Values from the calculation:
For the density, the calculation gives 7.92 g/cm3. Its raw formation energy is -0.57 eV/atom. For the total energy, the calculation gives -211.6 eV/cell.

a = 10.9742 Å, b = 10.9742 Å, c = 10.3929 Å
α = 118.26°, β = 118.26°, γ = 37.56°
Fractional positions:
Nb 0.0000 0.0000 0.0000
Nb 0.0031 0.5038 0.3759
Nb 0.0617 0.5595 0.1223
Nb 0.3157 0.3157 0.8804
Nb 0.3757 0.8777 0.0079
Nb 0.3770 0.3770 0.6285
Nb 0.5006 0.5006 0.0000
Nb 0.5038 0.0031 0.3759
Nb 0.5595 0.0617 0.1223
Nb 0.8135 0.8135 0.8748
Nb 0.8746 0.8746 0.6282
Nb 0.8777 0.3757 0.0079
Tl 0.0635 0.0635 0.5013
Te 0.0363 0.0363 0.7817
Te 0.1490 0.6516 0.4484
Te 0.2314 0.2314 0.5569
Te 0.3401 0.8407 0.2288
Te 0.4255 0.4255 0.1738
Te 0.4486 0.9516 0.8286
Te 0.5375 0.5375 0.7801
Te 0.6516 0.1490 0.4484
Te 0.7278 0.7278 0.5537
Te 0.8407 0.3401 0.2288
Te 0.9229 0.9229 0.1662
Te 0.9516 0.4486 0.8286
As 0.1472 0.6466 0.8353
As 0.2302 0.2302 0.1693
As 0.6466 0.1472 0.8353
As 0.7303 0.7303 0.1681